Entry 1:
Density functional theory data (PBE) for a geometry-optimized CuOF3 structure.

Lattice parameters (Å, degrees): 3.8020 3.8020 3.8020 90.00 90.00 90.00
Atoms (fractional coordinates):
O  0.0000  0.0000  0.0000
Cu  0.5000  0.5000  0.5000
F  0.0000  0.5000  0.0000
F  0.0000  0.0000  0.5000
F  0.5000  0.0000  0.0000

ΔE to the lowest computed polymorph in eV/atom: 1.015
Calculated total energy in eV for the cell shown: -14.053

=====

Entry 2:
Density functional theory data (PBE) for a geometry-optimized TcNi2P structure.

Lattice parameters (Å, degrees): 2.7357 2.7357 6.3717 90.00 90.00 90.00
Atoms (fractional coordinates):
Tc  0.5000  0.5000  0.5000
Ni  0.0000  0.0000  0.7918
Ni  0.0000  0.0000  0.2082
P  0.5000  0.5000  0.0000

Calculated formation energy in meV/atom: -37
Calculated total energy in eV for the cell shown: -27.487

=====

Entry 3:
Density functional theory data (PBE) for a geometry-optimized LiAg3Sn3 structure.

Lattice parameters (Å, degrees): 6.9498 6.9498 6.5487 85.54 85.54 91.61
Atoms (fractional coordinates):
Li  0.3438  0.3438  0.9272
Li  0.6562  0.6562  0.0728
Ag  0.2467  0.2467  0.5358
Ag  0.3513  0.6487  0.5000
Ag  0.6487  0.3513  0.5000
Ag  0.2559  0.7441  0.0000
Ag  0.7441  0.2559  0.0000
Ag  0.7533  0.7533  0.4642
Sn  0.9765  0.9765  0.7513
Sn  0.4729  0.0106  0.2518
Sn  0.0106  0.4729  0.2518
Sn  0.5271  0.9894  0.7482
Sn  0.9894  0.5271  0.7482
Sn  0.0235  0.0235  0.2487

Calculated formation energy in meV/atom: -29
Calculated total energy in eV for the cell shown: -45.352

=====

Entry 4:
Density functional theory data (PBE) for a geometry-optimized La2AsBr structure.

Lattice parameters (Å, degrees): 6.3945 6.3945 4.6272 90.00 90.00 36.84
Atoms (fractional coordinates):
As  0.4846  0.4846  0.6250
Br  0.2576  0.2576  0.1250
La  0.0116  0.0116  0.1250
La  0.7462  0.7462  0.6250

Calculated total energy in eV for the cell shown: -21.416

=====

Entry 5:
Density functional theory data (PBE) for a geometry-optimized KSrMo structure.

Lattice parameters (Å, degrees): 9.6308 9.6227 3.1746 80.65 80.36 18.98
Atoms (fractional coordinates):
K  0.0204  0.0204  0.9796
Mo  0.6764  0.6764  0.3236
Sr  0.3032  0.3032  0.6968

ΔE to the lowest computed polymorph in eV/atom: 0.000
Calculated formation energy in meV/atom: 1249
Calculated total energy in eV for the cell shown: -9.863

=====

Entry 6:
Density functional theory data (PBE) for a geometry-optimized BaLi2InIr structure.

Lattice parameters (Å, degrees): 5.0364 5.0364 5.1730 90.00 90.00 90.00
Atoms (fractional coordinates):
Ir  0.0000  0.0000  0.0000
Li  0.0000  0.5000  0.0000
Li  0.5000  0.0000  0.0000
Ba  0.5000  0.5000  0.5000
In  0.0000  0.0000  0.5000

Calculated formation energy in meV/atom: -113
Calculated total energy in eV for the cell shown: -17.916

=====

Entry 7:
Density functional theory data (PBE) for a geometry-optimized Rb2SbPbS4 structure.

Lattice parameters (Å, degrees): 8.7100 8.7100 8.9305 120.84 120.84 90.15
Atoms (fractional coordinates):
Rb  0.5000  0.0000  0.0000
Rb  0.5000  0.0000  0.5000
Rb  0.0000  0.0000  0.5000
Rb  0.5000  0.5000  0.0000
Sb  0.5000  0.5000  0.5000
Sb  0.0000  0.0000  0.0000
Pb  0.0000  0.5000  0.0000
Pb  0.0000  0.5000  0.5000
S  0.1978  0.7680  0.9829
S  0.7320  0.3022  0.5171
S  0.2680  0.6978  0.4829
S  0.8022  0.2320  0.0171
S  0.7557  0.7442  0.9496
S  0.7558  0.7443  0.5504
S  0.2442  0.2558  0.4496
S  0.2443  0.2558  0.0504

Calculated total energy in eV for the cell shown: -62.274

=====

Entry 8:
Density functional theory data (PBE) for a geometry-optimized NiPtBr2 structure.

Lattice parameters (Å, degrees): 3.5465 3.5461 7.2959 90.00 90.00 90.00
Atoms (fractional coordinates):
Br  0.0000  0.0000  0.9037
Br  0.5000  0.5000  0.3356
Ni  0.0000  0.0000  0.5929
Pt  0.5000  0.5000  0.6678

ΔE to the lowest computed polymorph in eV/atom: 0.305
Calculated total energy in eV for the cell shown: -14.185

=====

Entry 9:
Density functional theory data (PBE) for a geometry-optimized PrPu2Si structure.

Lattice parameters (Å, degrees): 4.7839 4.7839 6.0198 66.59 66.59 60.00
Atoms (fractional coordinates):
Pr  0.5000  0.5000  0.5000
Si  0.0000  0.0000  0.0000
Pu  0.2766  0.2766  0.1701
Pu  0.7234  0.7234  0.8299

ΔE to the lowest computed polymorph in eV/atom: 0.309
Calculated total energy in eV for the cell shown: -38.314

=====

Entry 10:
Density functional theory data (PBE) for a geometry-optimized TaTcS3 structure.

Lattice parameters (Å, degrees): 4.7740 4.7740 4.7740 90.00 90.00 90.00
Atoms (fractional coordinates):
S  0.0000  0.5000  0.0000
S  0.0000  0.0000  0.5000
S  0.5000  0.0000  0.0000
Tc  0.5000  0.5000  0.5000
Ta  0.0000  0.0000  0.0000

ΔE to the lowest computed polymorph in eV/atom: 0.000
Calculated total energy in eV for the cell shown: -32.944

=====

Entry 11:
Density functional theory data (PBE) for a geometry-optimized Ta2NiW structure.

Lattice parameters (Å, degrees): 3.2604 3.2604 5.9916 90.00 90.00 90.00
Atoms (fractional coordinates):
Ni  0.5000  0.5000  0.7479
Ta  0.0000  0.0000  0.9813
Ta  0.5000  0.5000  0.2600
W  0.0000  0.0000  0.5108

Calculated formation energy in meV/atom: 46
Calculated total energy in eV for the cell shown: -42.257